[1]
The following is a meta-GGA SCAN calculation of a crystal of ReHgMo2 relaxed with PBEsol, from Alexandria.

**Size of the total moment**: 0.00 μB/atom
**E_form**: 45.5 kJ per mole of atoms
**Final energy**: -51.79 eV per atom
**Mass density**: 15.2 g cm⁻³

Cell: 3.965 3.965 4.899 Å, 113.87 113.87 90.00°
Fractional positions:
Hg: 0.000 0.000 0.000
Mo: 0.750 0.250 0.500
Mo: 0.250 0.750 0.500
Re: 0.500 0.500 0.000

=====

[2]
The following is a meta-GGA SCAN calculation of a crystal of HgMo2Rh relaxed with PBEsol, from Alexandria.

**Size of the total moment**: 0.00 μB/atom
**E_form**: 27.6 kJ per mole of atoms
**Final energy**: -42.64 eV per atom
**Mass density**: 13.2 g cm⁻³

Cell: 3.797 3.799 5.086 Å, 111.93 111.92 90.00°
Fractional positions:
Hg: 0.500 0.000 0.000
Mo: 0.750 0.750 0.500
Mo: 0.250 0.250 0.500
Rh: 0.000 0.500 0.000

=====

[3]
The following is a meta-GGA SCAN calculation of a crystal of HgMo2Rh relaxed with PBEsol, from Alexandria.

**Size of the total moment**: 0.00 μB/atom
**E_form**: 28.4 kJ per mole of atoms
**Final energy**: -42.63 eV per atom
**Mass density**: 13.0 g cm⁻³

Cell: 2.758 4.864 4.973 Å, 99.06 90.00 106.47°
Fractional positions:
Hg: 0.752 0.505 0.253
Mo: 0.994 0.988 0.980
Mo: 0.242 0.485 0.746
Rh: 0.511 0.022 0.521

=====

[4]
The following is a meta-GGA SCAN calculation of a crystal of Hg2MoRh relaxed with PBEsol, from Alexandria.

**Size of the total moment**: 0.00 μB/atom
**E_form**: 36.4 kJ per mole of atoms
**Final energy**: -50.87 eV per atom
**Mass density**: 14.6 g cm⁻³

Cell: 2.863 4.530 5.993 Å, 90.00 118.43 90.00°
Fractional positions:
Hg: 0.097 0.000 0.973
Hg: 0.406 0.500 0.280
Mo: 0.129 0.000 0.504
Rh: 0.368 0.500 0.743

=====

Which formula does entry 4 have? Hg2MoRh

=====

final energy of number 2 (HgMo2Rh)? -42.64 eV per atom

=====

What is the final energy in the third record? -42.63 eV per atom